(1)
A relaxed NaTc6S8 crystal, computed with PBE.

Geometry as extended XYZ:
```
15
Lattice="-1.417 -5.338 -3.356 6.021 -0.027 -2.348 1.869 -3.575 5.049" Properties=species:S:1:pos:R:3 pbc="T T T"
Tc 5.128 -4.464 -0.346
Tc 3.273 -5.899 0.910
Tc 3.247 -5.723 -1.744
Tc 1.346 -4.476 -0.309
S 4.959 -2.032 -0.264
Tc 3.226 -3.217 1.088
S 1.446 -4.396 -2.716
Na 0.000 0.000 0.000
S 1.546 -2.135 -0.157
S 4.928 -6.805 -0.499
S 4.867 -4.302 -2.824
S 1.607 -4.638 2.169
S 5.027 -4.544 2.061
Tc 3.200 -3.041 -1.566
S 1.514 -6.908 -0.392
```

N(E_F) ... 11.8 states/eV/cell
Magnetization ... 0.0 μB/f.u.
Total energy ... -105.802 eV per formula unit

---

(2)
A relaxed FeAs2Br crystal, computed with PBE.

Geometry as extended XYZ:
```
4
Lattice="-1.708 1.558 -2.464 1.017 -2.358 -2.196 -6.011 -4.074 1.591" Properties=species:S:1:pos:R:3 pbc="T T T"
As -1.220 -0.993 -2.099
Fe -5.148 -3.655 -1.059
Br -3.440 -2.331 0.910
As -5.911 -4.006 1.564
```

N(E_F) ... 2.0 states/eV/cell
Magnetization ... 3.0 μB/f.u.
Total energy ... -18.559 eV per formula unit

---

(3)
A relaxed KW2 crystal, computed with PBE.

Geometry as extended XYZ:
```
6
Lattice="1.408 4.319 4.124 -5.423 1.243 2.585 2.637 -5.491 -0.731" Properties=species:S:1:pos:R:3 pbc="T T T"
W -2.501 3.465 4.179
W -1.904 -1.417 1.780
W -2.891 -0.050 3.429
W -1.514 2.097 2.530
K 0.000 0.000 0.000
K 1.018 0.804 3.374
```

N(E_F) ... 4.8 states/eV/cell
Magnetization ... 0.0 μB/f.u.
ΔH_f (0 K) ... 197.7 kJ/mol of atoms

---

(4)
A relaxed HgPt2Rh crystal, computed with PBE.

Geometry as extended XYZ:
```
4
Lattice="-2.411 1.472 -0.511 -1.818 -0.886 -2.037 -5.907 -4.995 5.423" Properties=species:S:1:pos:R:3 pbc="T T T"
Pt -2.592 -1.170 0.800
Pt -4.722 -3.628 3.770
Rh -5.074 -2.211 1.445
Hg -8.723 -4.600 3.719
```

N(E_F) ... 5.0 states/eV/cell
Magnetization ... 0.9 μB/f.u.
ΔH_f (0 K) ... 14.0 kJ/mol of atoms